Record 1
Material: LaZnPb2
Method: DFT, PBE
State: optimized geometry

spin magnetization = 0.0 μB per cell
calculated formation energy = -0.20 eV/atom
crystal system = cubic

Cell: 7.737 7.737 7.737 Å, 90.00 90.00 90.00°
Space group F-43m (No. 216)
Symmetry-distinct sites (fractional):
La 0.000 0.000 0.000 x4
Zn 0.250 0.250 0.250 x4
Pb 0.000 0.000 0.500 x4
Pb 0.250 0.250 0.750 x4

Record 2
Material: BaCaSc2
Method: DFT, PBE
State: optimized geometry

polymorph energy (0 for the lowest one) = 11.2 kJ per mole of atoms
spin magnetization = 0.0 μB per cell
calculated formation energy = 0.31 eV/atom
crystal system = monoclinic

Cell: 13.042 3.714 6.208 Å, 90.00 110.85 90.00°
Space group Cm (No. 8)
Symmetry-distinct sites (fractional):
Ba 0.000 0.000 0.000 x2
Ca 0.289 0.500 0.360 x2
Sc 0.045 0.500 0.537 x2
Sc 0.240 0.000 0.810 x2

Among the records above, which one has the lowest calculated formation energy? LaZnPb2

Look up the spin magnetization of the second one. 0.0 μB per cell